Record 1
PBE TbLu2Al7Cu2, optimized geometry; total moment = 0.0 μB/cell; total DFT energy (no corrections) = -4.42 eV/atom; volume = 216 Å³/f.u.
1.0
-2.895 1.887 8.306
-2.500 6.590 5.590
-6.813 3.356 4.821
Lu Cu Al Tb
2 2 7 1
direct
0.142 0.142 0.142
0.858 0.858 0.858
0.665 0.665 0.665
0.335 0.335 0.335
0.583 0.583 0.074
0.500 0.500 0.500
0.583 0.074 0.583
0.926 0.417 0.417
0.417 0.926 0.417
0.074 0.583 0.583
0.417 0.417 0.926
0.000 0.000 0.000

Record 2
PBE K2ScTcSe6, optimized geometry; total moment = 0.4 μB/cell; total DFT energy (no corrections) = -4.65 eV/atom; volume = 267 Å³/f.u.
1.0
1.395 -0.207 7.092
-0.818 5.954 4.021
-5.422 0.428 4.765
K Se Sc Tc
2 6 1 1
direct
0.750 0.750 0.750
0.250 0.250 0.250
0.244 0.756 0.756
0.756 0.244 0.244
0.756 0.756 0.244
0.244 0.756 0.244
0.244 0.244 0.756
0.756 0.244 0.756
0.500 0.500 0.500
0.000 0.000 0.000